! Li2NbZn (GGA-PBE, optimized geometry); values from VASP
! Space group   F-43m (216)
! Calculated total energy   -13.9 eV/cell
&SYSTEM
  ibrav = 0, nat = 4, ntyp = 3
/
ATOMIC_SPECIES
Nb 92.91 Nb.upf
Li 6.94 Li.upf
Zn 65.41 Zn.upf
CELL_PARAMETERS angstrom
3.126 2.271 2.074
-0.902 2.015 3.789
1.693 -1.520 3.749
ATOMIC_POSITIONS angstrom
Nb 1.958 1.383 4.806
Li 0.000 0.000 0.000
Li 2.938 2.075 7.210
Zn 0.979 0.692 2.403